No. 1
The following is a DFT calculation (PBE) of an optimized crystal structure of K4Br.

Summary:
Crystal system: cubic
Magnetization (μB/cell): 0.00
Formation energy without anion corrections (eV per atom): -0.62
D(E_F) (states/eV per atom): 0.5920
Total energy (eV for the cell shown): -9.18

Geometry as CIF:
```
data_K4Br
_symmetry_space_group_name_H-M 'P m -3 m'
_symmetry_Int_Tables_number 221
_symmetry_space_group_name_Hall '-P 4 2 3'
_cell_length_a 6.709
_cell_length_b 6.709
_cell_length_c 6.709
_cell_angle_alpha 90.00
_cell_angle_beta 90.00
_cell_angle_gamma 90.00
loop_
_atom_site_label
_atom_site_type_symbol
_atom_site_fract_x
_atom_site_fract_y
_atom_site_fract_z
K1 K 0.000 0.000 0.000
K2 K 0.000 0.500 0.500
Br1 Br 0.500 0.500 0.500
```

=====

No. 2
The following is a DFT calculation (PBE) of an optimized crystal structure of SrAg2Sb.

Summary:
Crystal system: tetragonal
Magnetization (μB/cell): 0.00
Formation energy without anion corrections (eV per atom): -0.25
D(E_F) (states/eV per atom): 0.3317
Total energy (eV for the cell shown): -25.02

Geometry as CIF:
```
data_SrAg2Sb
_symmetry_space_group_name_H-M 'I -4 m 2'
_symmetry_Int_Tables_number 119
_symmetry_space_group_name_Hall 'I -4 -2'
_cell_length_a 5.091
_cell_length_b 5.091
_cell_length_c 7.783
_cell_angle_alpha 90.00
_cell_angle_beta 90.00
_cell_angle_gamma 90.00
loop_
_atom_site_label
_atom_site_type_symbol
_atom_site_fract_x
_atom_site_fract_y
_atom_site_fract_z
Sr1 Sr 0.000 0.000 0.000
Ag1 Ag 0.000 0.000 0.500
Ag2 Ag 0.000 0.500 0.750
Sb1 Sb 0.000 0.500 0.250
```

=====

No. 3
The following is a DFT calculation (PBE) of an optimized crystal structure of SrLiAs2.

Summary:
ΔH_f (0 K) (eV per formula unit): -1.94
Crystal system: cubic
Magnetization (μB/cell): 0.00
Energy above the lowest structure with this stoichiometry (meV per atom): 286
D(E_F) (states/eV per atom): 0.6095
Total energy (eV for the cell shown): -59.36

Geometry as CIF:
```
data_SrLiAs2
_symmetry_space_group_name_H-M 'F m -3 m'
_symmetry_Int_Tables_number 225
_symmetry_space_group_name_Hall '-F 4 2 3'
_cell_length_a 7.208
_cell_length_b 7.208
_cell_length_c 7.208
_cell_angle_alpha 90.00
_cell_angle_beta 90.00
_cell_angle_gamma 90.00
loop_
_atom_site_label
_atom_site_type_symbol
_atom_site_fract_x
_atom_site_fract_y
_atom_site_fract_z
Sr1 Sr 0.000 0.000 0.000
Li1 Li 0.000 0.000 0.500
As1 As 0.250 0.250 0.250
```

=====

No. 4
The following is a DFT calculation (PBE) of an optimized crystal structure of Pr3DyC.

Summary:
ΔH_f (0 K) (eV per formula unit): 0.63
Crystal system: cubic
Magnetization (μB/cell): 0.00
D(E_F) (states/eV per atom): 1.3519
Total energy (eV for the cell shown): -27.54

Geometry as CIF:
```
data_Pr3DyC
_symmetry_space_group_name_H-M 'P m -3 m'
_symmetry_Int_Tables_number 221
_symmetry_space_group_name_Hall '-P 4 2 3'
_cell_length_a 5.276
_cell_length_b 5.276
_cell_length_c 5.276
_cell_angle_alpha 90.00
_cell_angle_beta 90.00
_cell_angle_gamma 90.00
loop_
_atom_site_label
_atom_site_type_symbol
_atom_site_fract_x
_atom_site_fract_y
_atom_site_fract_z
Pr1 Pr 0.000 0.000 0.500
Dy1 Dy 0.500 0.500 0.500
C1 C 0.000 0.000 0.000
```

=====

No. 5
The following is a DFT calculation (PBE) of an optimized crystal structure of Nb3VTe.

Summary:
Crystal system: cubic
Magnetization (μB/cell): 0.00
Energy above the lowest structure with this stoichiometry (meV per atom): 0
Formation energy without anion corrections (eV per atom): 0.84
D(E_F) (states/eV per atom): 1.0950
Total energy (eV for the cell shown): -38.28

Geometry as CIF:
```
data_Nb3VTe
_symmetry_space_group_name_H-M 'P m -3 m'
_symmetry_Int_Tables_number 221
_symmetry_space_group_name_Hall '-P 4 2 3'
_cell_length_a 4.724
_cell_length_b 4.724
_cell_length_c 4.724
_cell_angle_alpha 90.00
_cell_angle_beta 90.00
_cell_angle_gamma 90.00
loop_
_atom_site_label
_atom_site_type_symbol
_atom_site_fract_x
_atom_site_fract_y
_atom_site_fract_z
Nb1 Nb 0.000 0.000 0.500
V1 V 0.000 0.000 0.000
Te1 Te 0.500 0.500 0.500
```

=====

No. 6
The following is a DFT calculation (PBE) of an optimized crystal structure of CdAg6Ge.

Summary:
ΔH_f (0 K) (eV per formula unit): 0.34
Crystal system: tetragonal
Magnetization (μB/cell): 0.00
D(E_F) (states/eV per atom): 0.2983
Total energy (eV for the cell shown): -22.30

Geometry as CIF:
```
data_CdAg6Ge
_symmetry_space_group_name_H-M 'P 4/m m m'
_symmetry_Int_Tables_number 123
_symmetry_space_group_name_Hall '-P 4 2'
_cell_length_a 4.244
_cell_length_b 4.244
_cell_length_c 8.090
_cell_angle_alpha 90.00
_cell_angle_beta 90.00
_cell_angle_gamma 90.00
loop_
_atom_site_label
_atom_site_type_symbol
_atom_site_fract_x
_atom_site_fract_y
_atom_site_fract_z
Cd1 Cd 0.000 0.000 0.000
Ag1 Ag 0.000 0.500 0.255
Ag2 Ag 0.500 0.500 0.000
Ag3 Ag 0.500 0.500 0.500
Ge1 Ge 0.000 0.000 0.500
```